This record from Alexandria via LeMat-Bulk describes a geometry-optimized MgHW structure. The functional is PBE-GGA.

**E above lowest polymorph**: 0.038 eV/atom
**Total magnetization**: 0.0 μB per formula unit

a = 2.8742 Å, b = 4.4935 Å, c = 5.9359 Å
α = 90.00°, β = 102.02°, γ = 90.00°
Closest atoms and distances in Å follow each position.
Space group P2_1/m (No. 11)
One atom of each set of equivalent atoms:
Mg 0.1843 0.2500 0.3539  3 H 2.23-2.27
H 0.2698 0.7500 0.3196  2 W 1.90
W 0.3241 0.2500 0.8944  2 H 1.90

This record from Alexandria via LeMat-Bulk describes a geometry-optimized MgHW2 structure. The functional is PBE-GGA.

**E above lowest polymorph**: 0.900 eV/atom
**Total magnetization**: 0.0 μB per formula unit

a = 6.0699 Å, b = 6.0699 Å, c = 6.0699 Å
α = 90.00°, β = 90.00°, γ = 90.00°
Closest atoms and distances in Å follow each position.
Space group Fm-3m (No. 225)
One atom of each set of equivalent atoms:
Mg 0.0000 0.0000 0.0000  8 W 2.63
H 0.0000 0.0000 0.5000  8 W 2.63
W 0.2500 0.2500 0.2500  4 H 2.63, 4 Mg 2.63

This record from Alexandria via LeMat-Bulk describes a geometry-optimized MgHW3 structure. The functional is PBE-GGA.

**E above lowest polymorph**: 0.000 eV/atom
**Total magnetization**: 0.0 μB per formula unit

a = 4.0827 Å, b = 4.0827 Å, c = 4.0827 Å
α = 90.00°, β = 90.00°, γ = 90.00°
Closest atoms and distances in Å follow each position.
Space group Pm-3m (No. 221)
One atom of each set of equivalent atoms:
Mg 0.0000 0.0000 0.0000  12 W 2.89
H 0.5000 0.5000 0.5000  6 W 2.04
W 0.0000 0.5000 0.5000  2 H 2.04